Entry 1:
First-principles (PBE) data for an optimized crystal structure of TbBN2, as listed in Alexandria via LeMat-Bulk.

Total magnetic moment in μB/atom: 0.000
Raw formation energy in meV/atom: -839
Space group: Pnma
Offset from the most stable computed form in meV/atom: 531

Cell lengths 10.480, 2.876, 6.166 Å; angles 90.00, 90.00, 90.00 degrees
Element x y z (fractional)
Tb: 0.107 0.250 0.181
Tb: 0.393 0.750 0.681
Tb: 0.607 0.250 0.319
Tb: 0.893 0.750 0.819
B: 0.124 0.250 0.627
B: 0.376 0.750 0.127
B: 0.624 0.250 0.873
B: 0.876 0.750 0.373
N: 0.055 0.250 0.823
N: 0.160 0.750 0.517
N: 0.340 0.250 0.017
N: 0.445 0.750 0.323
N: 0.555 0.250 0.677
N: 0.660 0.750 0.983
N: 0.840 0.250 0.483
N: 0.945 0.750 0.177



Entry 2:
First-principles (PBE) data for an optimized crystal structure of Tb3BN4, as listed in Alexandria via LeMat-Bulk.

Total magnetic moment in μB/atom: 0.000
Raw formation energy in meV/atom: -1054
Space group: Pmn2_1

Cell lengths 7.121, 6.262, 5.195 Å; angles 90.00, 90.00, 90.00 degrees
Element x y z (fractional)
Tb: 0.000 0.129 0.000
Tb: 0.245 0.330 0.498
Tb: 0.255 0.670 0.998
Tb: 0.500 0.871 0.500
Tb: 0.745 0.670 0.998
Tb: 0.755 0.330 0.498
B: 0.000 0.823 0.463
B: 0.500 0.177 0.963
N: 0.000 0.086 0.540
N: 0.000 0.806 0.163
N: 0.202 0.700 0.560
N: 0.298 0.300 0.060
N: 0.500 0.194 0.663
N: 0.500 0.914 0.040
N: 0.702 0.300 0.060
N: 0.798 0.700 0.560



Entry 3:
First-principles (PBE) data for an optimized crystal structure of TbB2N2, as listed in Alexandria via LeMat-Bulk.

Total magnetic moment in μB/atom: 0.000
Raw formation energy in meV/atom: -320
Space group: P6/mmm

Cell lengths 4.604, 4.604, 2.805 Å; angles 90.00, 90.00, 120.00 degrees
Element x y z (fractional)
Tb: 0.000 0.000 0.000
B: 0.333 0.667 0.500
B: 0.667 0.333 0.500
N: 0.333 0.667 0.000
N: 0.667 0.333 0.000



Entry 4:
First-principles (PBE) data for an optimized crystal structure of Tb2BN, as listed in Alexandria via LeMat-Bulk.

Total magnetic moment in μB/atom: 0.000
Raw formation energy in meV/atom: -647
Space group: R-3m

Cell lengths 3.534, 3.534, 19.007 Å; angles 90.00, 90.00, 120.00 degrees
Element x y z (fractional)
Tb: 0.000 0.000 0.240
Tb: 0.000 0.000 0.760
Tb: 0.333 0.667 0.426
Tb: 0.333 0.667 0.907
Tb: 0.667 0.333 0.093
Tb: 0.667 0.333 0.574
B: 0.000 0.000 0.000
B: 0.333 0.667 0.667
B: 0.667 0.333 0.333
N: 0.000 0.000 0.500
N: 0.333 0.667 0.167
N: 0.667 0.333 0.833



Entry 5:
First-principles (PBE) data for an optimized crystal structure of Tb5B2N5, as listed in Alexandria via LeMat-Bulk.

Total magnetic moment in μB/atom: 0.000
Raw formation energy in meV/atom: -1026
Space group: C2/m

Cell lengths 6.288, 6.288, 9.314 Å; angles 99.13, 99.13, 31.37 degrees
Element x y z (fractional)
Tb: 0.000 0.000 0.000
Tb: 0.127 0.127 0.431
Tb: 0.215 0.215 0.839
Tb: 0.785 0.785 0.161
Tb: 0.873 0.873 0.569
B: 0.423 0.423 0.365
B: 0.577 0.577 0.635
N: 0.303 0.303 0.365
N: 0.364 0.364 0.022
N: 0.500 0.500 0.500
N: 0.636 0.636 0.978
N: 0.697 0.697 0.635



Entry 6:
First-principles (PBE) data for an optimized crystal structure of TbBN2, as listed in Alexandria via LeMat-Bulk.

Total magnetic moment in μB/atom: 0.000
Raw formation energy in meV/atom: -1370
Space group: R-3m
Offset from the most stable computed form in meV/atom: 0

Cell lengths 3.661, 3.661, 15.035 Å; angles 90.00, 90.00, 120.00 degrees
Element x y z (fractional)
Tb: 0.000 0.000 0.000
Tb: 0.333 0.667 0.667
Tb: 0.667 0.333 0.333
B: 0.000 0.000 0.500
B: 0.333 0.667 0.167
B: 0.667 0.333 0.833
N: 0.000 0.000 0.411
N: 0.000 0.000 0.589
N: 0.333 0.667 0.077
N: 0.333 0.667 0.256
N: 0.667 0.333 0.744
N: 0.667 0.333 0.923



Entry 7:
First-principles (PBE) data for an optimized crystal structure of TbB6N6, as listed in Alexandria via LeMat-Bulk.

Total magnetic moment in μB/atom: 0.000
Raw formation energy in meV/atom: -229
Space group: Pm-3

Cell lengths 4.654, 4.654, 4.654 Å; angles 90.00, 90.00, 90.00 degrees
Element x y z (fractional)
Tb: 0.000 0.000 0.000
B: 0.000 0.238 0.500
B: 0.000 0.762 0.500
B: 0.238 0.500 0.000
B: 0.500 0.000 0.238
B: 0.500 0.000 0.762
B: 0.762 0.500 0.000
N: 0.000 0.500 0.249
N: 0.000 0.500 0.751
N: 0.249 0.000 0.500
N: 0.500 0.249 0.000
N: 0.500 0.751 0.000
N: 0.751 0.000 0.500



Entry 8:
First-principles (PBE) data for an optimized crystal structure of Tc2BN, as listed in Alexandria via LeMat-Bulk.

Total magnetic moment in μB/atom: 0.500
Raw formation energy in meV/atom: 297
Space group: I-42d
Offset from the most stable computed form in meV/atom: 0

Cell lengths 4.644, 4.644, 9.458 Å; angles 90.00, 90.00, 90.00 degrees
Element x y z (fractional)
Tc: 0.231 0.250 0.125
Tc: 0.250 0.731 0.375
Tc: 0.250 0.769 0.875
Tc: 0.269 0.250 0.625
Tc: 0.731 0.750 0.625
Tc: 0.750 0.231 0.875
Tc: 0.750 0.269 0.375
Tc: 0.769 0.750 0.125
B: 0.000 0.000 0.500
B: 0.000 0.500 0.750
B: 0.500 0.000 0.250
B: 0.500 0.500 0.000
N: 0.000 0.000 0.000
N: 0.000 0.500 0.250
N: 0.500 0.000 0.750
N: 0.500 0.500 0.500



Entry 9:
First-principles (PBE) data for an optimized crystal structure of Tc2BN, as listed in Alexandria via LeMat-Bulk.

Total magnetic moment in μB/atom: 0.000
Raw formation energy in meV/atom: 563
Space group: Fm-3m
Offset from the most stable computed form in meV/atom: 267

Cell lengths 5.416, 5.416, 5.416 Å; angles 90.00, 90.00, 90.00 degrees
Element x y z (fractional)
Tc: 0.250 0.250 0.250
Tc: 0.250 0.250 0.750
Tc: 0.250 0.750 0.250
Tc: 0.250 0.750 0.750
Tc: 0.750 0.250 0.250
Tc: 0.750 0.250 0.750
Tc: 0.750 0.750 0.250
Tc: 0.750 0.750 0.750
B: 0.000 0.000 0.000
B: 0.000 0.500 0.500
B: 0.500 0.000 0.500
B: 0.500 0.500 0.000
N: 0.000 0.000 0.500
N: 0.000 0.500 0.000
N: 0.500 0.000 0.000
N: 0.500 0.500 0.500



Entry 10:
First-principles (PBE) data for an optimized crystal structure of TcBN, as listed in Alexandria via LeMat-Bulk.

Total magnetic moment in μB/atom: 0.000
Raw formation energy in meV/atom: -308
Space group: Pnma

Cell lengths 11.409, 2.604, 4.238 Å; angles 90.00, 90.00, 90.00 degrees
Element x y z (fractional)
Tc: 0.043 0.250 0.249
Tc: 0.457 0.750 0.749
Tc: 0.543 0.250 0.251
Tc: 0.957 0.750 0.751
B: 0.225 0.750 0.127
B: 0.275 0.250 0.627
B: 0.725 0.750 0.373
B: 0.775 0.250 0.873
N: 0.230 0.250 0.299
N: 0.270 0.750 0.799
N: 0.730 0.250 0.201
N: 0.770 0.750 0.701



Entry 11:
First-principles (PBE) data for an optimized crystal structure of TcBN2, as listed in Alexandria via LeMat-Bulk.

Total magnetic moment in μB/atom: 0.000
Raw formation energy in meV/atom: -154
Space group: I-42d

Cell lengths 4.372, 4.372, 7.205 Å; angles 90.00, 90.00, 90.00 degrees
Element x y z (fractional)
Tc: 0.000 0.000 0.000
Tc: 0.000 0.500 0.250
Tc: 0.500 0.000 0.750
Tc: 0.500 0.500 0.500
B: 0.000 0.000 0.500
B: 0.000 0.500 0.750
B: 0.500 0.000 0.250
B: 0.500 0.500 0.000
N: 0.160 0.250 0.625
N: 0.250 0.660 0.875
N: 0.250 0.840 0.375
N: 0.340 0.250 0.125
N: 0.660 0.750 0.125
N: 0.750 0.160 0.375
N: 0.750 0.340 0.875
N: 0.840 0.750 0.625



Entry 12:
First-principles (PBE) data for an optimized crystal structure of Tc3BN, as listed in Alexandria via LeMat-Bulk.

Total magnetic moment in μB/atom: 0.000
Raw formation energy in meV/atom: 592
Space group: Pm-3m
Offset from the most stable computed form in meV/atom: 0

Cell lengths 3.950, 3.950, 3.950 Å; angles 90.00, 90.00, 90.00 degrees
Element x y z (fractional)
Tc: 0.000 0.000 0.500
Tc: 0.000 0.500 0.000
Tc: 0.500 0.000 0.000
B: 0.500 0.500 0.500
N: 0.000 0.000 0.000